(1)
The following is a PBE calculation of a relaxed structure of ErTl2SnTe4, from Alexandria.

Cell: 7.8792 4.3794 8.3828 Å, 90.00 107.78 90.00°
With the nearest neighbours (Å) after each atom.
Fractional positions:
Er 0.0000 0.0000 0.0000  6 Te 3.06-3.09
Tl 0.0000 0.5000 0.5000  6 Te 3.40-3.44
Tl 0.5000 0.0000 0.5000  6 Te 3.45-3.49
Sn 0.5000 0.5000 0.0000  6 Te 3.11-3.15
Te 0.2341 0.5000 0.2138  2 Er 3.06, 1 Sn 3.15
Te 0.2541 0.0000 0.7835  1 Er 3.09, 2 Sn 3.11, 2 Tl 3.40
Te 0.7459 0.0000 0.2165  1 Er 3.09, 2 Sn 3.11, 2 Tl 3.40
Te 0.7659 0.5000 0.7862  2 Er 3.06, 1 Sn 3.15

Properties
For the uncorrected formation energy, the calculation gives -0.64 eV/atom. The total moment is 0.00 Bohr magnetons per cell.


(2)
The following is a PBE calculation of a relaxed structure of Er3Tl4SnTe8, from Alexandria.

Cell: 9.5346 9.5346 9.5346 Å, 55.82 55.82 55.82°
With the nearest neighbours (Å) after each atom.
Fractional positions:
Er 0.0000 0.5000 0.5000  6 Te 3.07-3.09
Er 0.5000 0.0000 0.5000  6 Te 3.07-3.09
Er 0.5000 0.5000 0.0000  6 Te 3.07-3.09
Tl 0.0000 0.0000 0.5000  6 Te 3.45-3.47
Tl 0.0000 0.5000 0.0000  6 Te 3.45-3.47
Tl 0.5000 0.0000 0.0000  6 Te 3.45-3.47
Tl 0.5000 0.5000 0.5000  6 Te 3.43
Sn 0.0000 0.0000 0.0000  6 Te 3.12
Te 0.2402 0.2402 0.7323  2 Er 3.07, 1 Sn 3.12, 1 Tl 3.43
Te 0.2402 0.7323 0.2402  2 Er 3.07, 1 Sn 3.12, 1 Tl 3.43
Te 0.2622 0.2622 0.2622  3 Er 3.09, 3 Tl 3.45
Te 0.2677 0.7598 0.7598  2 Er 3.07, 1 Sn 3.12, 1 Tl 3.43
Te 0.7323 0.2402 0.2402  2 Er 3.07, 1 Sn 3.12, 1 Tl 3.43
Te 0.7378 0.7378 0.7378  3 Er 3.09, 3 Tl 3.45
Te 0.7598 0.2677 0.7598  2 Er 3.07, 1 Sn 3.12, 1 Tl 3.43
Te 0.7598 0.7598 0.2677  2 Er 3.07, 1 Sn 3.12, 1 Tl 3.43

Properties
For the uncorrected formation energy, the calculation gives -0.84 eV/atom. The total moment is 0.00 Bohr magnetons per cell.


(3)
The following is a PBE calculation of a relaxed structure of Er2Tl3SnTe6, from Alexandria.

Cell: 10.5197 10.5197 9.5857 Å, 107.47 107.47 24.16°
With the nearest neighbours (Å) after each atom.
Fractional positions:
Er 0.1686 0.1686 0.3371  6 Te 3.07-3.09
Er 0.8314 0.8314 0.6629  6 Te 3.07-3.09
Tl 0.1665 0.1665 0.8380  6 Te 3.43-3.50
Tl 0.5000 0.5000 0.5000  6 Te 3.40-3.45
Tl 0.8335 0.8335 0.1620  6 Te 3.43-3.50
Sn 0.5000 0.5000 0.0000  6 Te 3.13-3.15
Te 0.0109 0.0109 0.2379  1 Er 3.09, 2 Sn 3.13, 2 Tl 3.40
Te 0.3257 0.3257 0.4352  3 Er 3.08
Te 0.3389 0.3389 0.8902  2 Er 3.07, 1 Sn 3.15, 1 Tl 3.43
Te 0.6611 0.6611 0.1098  2 Er 3.07, 1 Sn 3.15, 1 Tl 3.43
Te 0.6743 0.6743 0.5648  3 Er 3.08
Te 0.9891 0.9891 0.7621  1 Er 3.09, 2 Sn 3.13, 2 Tl 3.40

Properties
For the uncorrected formation energy, the calculation gives -0.77 eV/atom. The total moment is 0.00 Bohr magnetons per cell.


(4)
The following is a PBE calculation of a relaxed structure of Er2TlSn3Te6, from Alexandria.

Cell: 10.0095 10.0095 9.4902 Å, 101.37 101.37 25.41°
With the nearest neighbours (Å) after each atom.
Fractional positions:
Er 0.1696 0.1696 0.3337  6 Te 3.02-3.13
Er 0.8304 0.8304 0.6663  6 Te 3.02-3.13
Tl 0.5000 0.5000 0.0000  6 Te 3.35-3.42
Sn 0.1609 0.1609 0.8319  6 Te 3.08-3.39
Sn 0.5000 0.5000 0.5000  6 Te 3.14-3.21
Sn 0.8391 0.8391 0.1681  6 Te 3.08-3.39
Te 0.0118 0.0118 0.2703  1 Er 3.02, 3 Sn 3.14-3.32, 2 Tl 3.35
Te 0.3220 0.3220 0.8918  3 Sn 3.08-3.39, 2 Er 3.10, 1 Tl 3.42
Te 0.3323 0.3323 0.4327  3 Er 3.13, 3 Sn 3.21-3.36
Te 0.6677 0.6677 0.5673  3 Er 3.13, 3 Sn 3.21-3.36
Te 0.6780 0.6780 0.1082  3 Sn 3.08-3.39, 2 Er 3.10, 1 Tl 3.42
Te 0.9882 0.9882 0.7297  1 Er 3.02, 3 Sn 3.14-3.32, 2 Tl 3.35

Properties
For the uncorrected formation energy, the calculation gives -0.62 eV/atom. The total moment is 0.00 Bohr magnetons per cell.


(5)
The following is a PBE calculation of a relaxed structure of ErTmSnTe, from Alexandria.

Cell: 4.3507 4.3507 21.4244 Å, 90.00 90.00 120.00°
With the nearest neighbours (Å) after each atom.
Fractional positions:
Er 0.0000 0.0000 0.0000  3 Sn 3.03, 3 Te 3.15
Er 0.3333 0.6667 0.6667  3 Sn 3.03, 3 Te 3.15
Er 0.6667 0.3333 0.3333  3 Sn 3.03, 3 Te 3.15
Tm 0.0000 0.0000 0.5101  3 Sn 3.02, 3 Te 3.14
Tm 0.3333 0.6667 0.1768  3 Sn 3.02, 3 Te 3.14
Tm 0.6667 0.3333 0.8435  3 Sn 3.02, 3 Te 3.14
Sn 0.0000 0.0000 0.2546  3 Tm 3.02, 3 Er 3.03
Sn 0.3333 0.6667 0.9213  3 Tm 3.02, 3 Er 3.03
Sn 0.6667 0.3333 0.5880  3 Tm 3.02, 3 Er 3.03
Te 0.0000 0.0000 0.7555  3 Tm 3.14, 3 Er 3.15
Te 0.3333 0.6667 0.4221  3 Tm 3.14, 3 Er 3.15
Te 0.6667 0.3333 0.0888  3 Tm 3.14, 3 Er 3.15

Properties
For the uncorrected formation energy, the calculation gives -0.98 eV/atom. The total moment is 0.00 Bohr magnetons per cell.


(6)
The following is a PBE calculation of a relaxed structure of YErSnTe, from Alexandria.

Cell: 4.3752 4.3752 21.5763 Å, 90.00 90.00 120.00°
With the nearest neighbours (Å) after each atom.
Fractional positions:
Y 0.0000 0.0000 0.0000  3 Sn 3.05, 3 Te 3.17
Y 0.3333 0.6667 0.6667  3 Sn 3.05, 3 Te 3.17
Y 0.6667 0.3333 0.3333  3 Sn 3.05, 3 Te 3.17
Er 0.0000 0.0000 0.4906  3 Sn 3.03, 3 Te 3.15
Er 0.3333 0.6667 0.1573  3 Sn 3.03, 3 Te 3.15
Er 0.6667 0.3333 0.8240  3 Sn 3.03, 3 Te 3.15
Sn 0.0000 0.0000 0.7463  3 Er 3.03, 3 Y 3.05
Sn 0.3333 0.6667 0.4130  3 Er 3.03, 3 Y 3.05
Sn 0.6667 0.3333 0.0796  3 Er 3.03, 3 Y 3.05
Te 0.0000 0.0000 0.2443  3 Er 3.15, 3 Y 3.17
Te 0.3333 0.6667 0.9110  3 Er 3.15, 3 Y 3.17
Te 0.6667 0.3333 0.5777  3 Er 3.15, 3 Y 3.17

Properties
For the uncorrected formation energy, the calculation gives -1.04 eV/atom. The total moment is 0.00 Bohr magnetons per cell.


(7)
The following is a PBE calculation of a relaxed structure of Er2ThSn, from Alexandria.

Cell: 3.5170 3.5170 35.2820 Å, 90.00 90.00 120.00°
With the nearest neighbours (Å) after each atom.
Fractional positions:
Er 0.0000 0.0000 0.0877  1 Sn 3.09, 3 Th 3.45
Er 0.0000 0.0000 0.9123  1 Sn 3.09, 3 Th 3.45
Er 0.3333 0.6667 0.5790  1 Sn 3.09, 3 Th 3.45
Er 0.3333 0.6667 0.7543  1 Sn 3.09, 3 Th 3.45
Er 0.6667 0.3333 0.2457  1 Sn 3.09, 3 Th 3.45
Er 0.6667 0.3333 0.4210  1 Sn 3.09, 3 Th 3.45
Th 0.0000 0.0000 0.5000  6 Er 3.45, 6 Th 3.52
Th 0.3333 0.6667 0.1667  6 Er 3.45, 6 Th 3.52
Th 0.6667 0.3333 0.8333  6 Er 3.45, 6 Th 3.52
Sn 0.0000 0.0000 0.0000  2 Er 3.09
Sn 0.3333 0.6667 0.6667  2 Er 3.09
Sn 0.6667 0.3333 0.3333  2 Er 3.09

Properties
For the offset from the most stable computed form, the calculation gives 0.393 eV/atom. For the energy relative to the elements, the calculation gives 0.036 eV per atom. The total moment is 0.00 Bohr magnetons per cell.


(8)
The following is a PBE calculation of a relaxed structure of Er2ThSn, from Alexandria.

Cell: 3.8235 3.8235 7.8161 Å, 90.00 90.00 90.00°
With the nearest neighbours (Å) after each atom.
Fractional positions:
Er 0.0000 0.0000 0.2215  4 Sn 3.21, 1 Er 3.46, 4 Th 3.47
Er 0.0000 0.0000 0.7785  4 Sn 3.21, 1 Er 3.46, 4 Th 3.47
Th 0.5000 0.5000 0.5000  8 Er 3.47, 4 Th 3.82
Sn 0.5000 0.5000 0.0000  8 Er 3.21

Properties
For the offset from the most stable computed form, the calculation gives 0.059 eV/atom. For the energy relative to the elements, the calculation gives -0.299 eV per atom. The total moment is 0.00 Bohr magnetons per cell.


(9)
The following is a PBE calculation of a relaxed structure of Er2ThSn, from Alexandria.

Cell: 4.8722 4.8722 4.7378 Å, 90.00 90.00 90.00°
With the nearest neighbours (Å) after each atom.
Fractional positions:
Er 0.0000 0.5000 0.0000  4 Sn 3.40, 4 Th 3.40, 4 Er 3.45
Er 0.5000 0.0000 0.0000  4 Sn 3.40, 4 Th 3.40, 4 Er 3.45
Th 0.0000 0.0000 0.5000  8 Er 3.40, 4 Sn 3.45
Sn 0.5000 0.5000 0.5000  8 Er 3.40, 4 Th 3.45

Properties
For the offset from the most stable computed form, the calculation gives 0.000 eV/atom. For the energy relative to the elements, the calculation gives -0.358 eV per atom. The total moment is 0.00 Bohr magnetons per cell.


(10)
The following is a PBE calculation of a relaxed structure of ErTh4Sn2, from Alexandria.

Cell: 5.4504 5.4504 16.5792 Å, 90.00 90.00 90.00°
With the nearest neighbours (Å) after each atom.
Fractional positions:
Er 0.0000 0.0000 0.0000  6 Th 2.73-2.96
Er 0.5000 0.5000 0.5000  6 Th 2.73-2.96
Th 0.0000 0.0000 0.1785  1 Er 2.96, 1 Sn 3.12
Th 0.0000 0.0000 0.8215  1 Er 2.96, 1 Sn 3.12
Th 0.0000 0.5000 0.0000  2 Er 2.73
Th 0.0000 0.5000 0.5000  2 Er 2.73
Th 0.5000 0.0000 0.0000  2 Er 2.73
Th 0.5000 0.0000 0.5000  2 Er 2.73
Th 0.5000 0.5000 0.3215  1 Er 2.96, 1 Sn 3.12
Th 0.5000 0.5000 0.6785  1 Er 2.96, 1 Sn 3.12
Sn 0.0000 0.0000 0.3667  1 Th 3.12
Sn 0.0000 0.0000 0.6333  1 Th 3.12
Sn 0.5000 0.5000 0.1333  1 Th 3.12
Sn 0.5000 0.5000 0.8667  1 Th 3.12

Properties
For the energy relative to the elements, the calculation gives 0.570 eV per atom. The total moment is 0.03 Bohr magnetons per cell.


(11)
The following is a PBE calculation of a relaxed structure of Er2Th3Sn3, from Alexandria.

Cell: 9.2120 9.2120 6.3917 Å, 90.00 90.00 120.00°
With the nearest neighbours (Å) after each atom.
Fractional positions:
Er 0.3333 0.6667 0.0000  2 Er 3.20, 6 Sn 3.24
Er 0.3333 0.6667 0.5000  2 Er 3.20, 6 Sn 3.24
Er 0.6667 0.3333 0.0000  2 Er 3.20, 6 Sn 3.24
Er 0.6667 0.3333 0.5000  2 Er 3.20, 6 Sn 3.24
Th 0.0000 0.2426 0.2500  5 Sn 3.22-3.51
Th 0.0000 0.7574 0.7500  5 Sn 3.22-3.51
Th 0.2426 0.0000 0.2500  5 Sn 3.22-3.51
Th 0.2426 0.2426 0.7500  5 Sn 3.22-3.51
Th 0.7574 0.0000 0.7500  5 Sn 3.22-3.51
Th 0.7574 0.7574 0.2500  5 Sn 3.22-3.51
Sn 0.0000 0.4002 0.7500  5 Th 3.22-3.51, 4 Er 3.24
Sn 0.0000 0.5998 0.2500  5 Th 3.22-3.51, 4 Er 3.24
Sn 0.4002 0.0000 0.7500  5 Th 3.22-3.51, 4 Er 3.24
Sn 0.4002 0.4002 0.2500  5 Th 3.22-3.51, 4 Er 3.24
Sn 0.5998 0.0000 0.2500  5 Th 3.22-3.51, 4 Er 3.24
Sn 0.5998 0.5998 0.7500  5 Th 3.22-3.51, 4 Er 3.24

Properties
For the energy relative to the elements, the calculation gives -0.557 eV per atom. The total moment is 0.00 Bohr magnetons per cell.


(12)
The following is a PBE calculation of a relaxed structure of ErTh5Sn4, from Alexandria.

Cell: 8.8000 8.8000 7.0032 Å, 91.07 91.07 36.35°
With the nearest neighbours (Å) after each atom.
Fractional positions:
Er 0.0000 0.0000 0.0000  6 Sn 3.21-3.28, 2 Th 3.50
Th 0.0000 0.0000 0.5000  6 Sn 3.30-3.35, 2 Er 3.50
Th 0.3305 0.3305 0.9932  5 Sn 3.21-3.36, 2 Th 3.47-3.54
Th 0.3355 0.3355 0.4981  5 Sn 3.26-3.36, 2 Th 3.47-3.54
Th 0.6645 0.6645 0.5019  5 Sn 3.26-3.36, 2 Th 3.47-3.54
Th 0.6695 0.6695 0.0068  5 Sn 3.21-3.36, 2 Th 3.47-3.54
Sn 0.1684 0.1684 0.2488  7 Th 3.23-3.35, 1 Er 3.28
Sn 0.4949 0.4949 0.2373  6 Th 3.21-3.36, 2 Er 3.21, 1 Sn 3.33
Sn 0.5051 0.5051 0.7627  6 Th 3.21-3.36, 2 Er 3.21, 1 Sn 3.33
Sn 0.8316 0.8316 0.7512  7 Th 3.23-3.35, 1 Er 3.28

Properties
For the energy relative to the elements, the calculation gives -0.251 eV per atom. The total moment is 0.00 Bohr magnetons per cell.


Number 1: V 34.43 Å³/atom, density 7.27 g/cm³. Number 2: V 34.60 Å³/atom, density 7.38 g/cm³. Number 3: V 34.43 Å³/atom, density 7.36 g/cm³. Number 4: V 33.30 Å³/atom, density 6.90 g/cm³. Number 5: V 29.27 Å³/atom, density 8.26 g/cm³. Number 6: V 29.81 Å³/atom, density 7.00 g/cm³. Number 7: V 31.50 Å³/atom, density 9.03 g/cm³. Number 8: V 28.57 Å³/atom, density 9.96 g/cm³. Number 9: V 28.12 Å³/atom, density 10.12 g/cm³. Number 10: V 35.18 Å³/atom, density 8.99 g/cm³. Number 11: V 29.36 Å³/atom, density 9.80 g/cm³. Number 12: V 32.14 Å³/atom, density 9.31 g/cm³.